1.
The following is a DFT calculation (PBE) of an optimized crystal structure of ErCrSi2.

The structure in extended XYZ format:
```
4
Lattice="2.018 1.165 4.903 -2.018 1.165 4.903 0.000 -2.330 4.903" Properties=species:S:1:pos:R:3 pbc="T T T"
Er 0.000 0.000 0.000
Cr 0.000 0.000 7.354
Si 0.000 0.000 3.188
Si 0.000 0.000 11.520
```

Output
Total energy in hartree per atom: -0.244
V in Å³ per cell: 69



2.
The following is a DFT calculation (PBE) of an optimized crystal structure of SmErZnCr.

The structure in extended XYZ format:
```
4
Lattice="0.000 3.589 3.589 3.589 0.000 3.589 3.589 3.589 0.000" Properties=species:S:1:pos:R:3 pbc="T T T"
Sm 0.000 0.000 0.000
Er 3.589 3.589 3.589
Zn 1.794 1.794 1.794
Cr 5.383 5.383 5.383
```

Output
Energy of formation in eV per atom: 0.025
V in Å³ per cell: 92



Question: Which value of V does entry 1 give?
Answer: 69 Å³ per cell